# 1
Material: KNpPa2O8
Method: DFT, GGA-PBE
State: relaxed

a b c (Å): 5.253 5.253 7.148
angles (deg): 90.00 90.00 92.03
Positions (direct):
K1 0.000 0.000 0.000
Np1 0.000 0.000 0.500
Pa1 0.500 0.500 0.250
Pa2 0.500 0.500 0.750
O1 0.203 0.203 0.294
O2 0.203 0.203 0.706
O3 0.315 0.685 0.500
O4 0.337 0.663 0.000
O5 0.663 0.337 0.000
O6 0.685 0.315 0.500
O7 0.797 0.797 0.294
O8 0.797 0.797 0.706

Results
total DFT energy (no corrections) = -110.23 eV for the cell shown
space group = Cmmm (65)
raw formation energy = -3.128 eV per atom

---

# 2
Material: SrCuN
Method: DFT, GGA-PBE
State: relaxed

a b c (Å): 6.514 6.514 5.674
angles (deg): 90.00 90.00 120.00
Positions (direct):
Sr1 0.000 0.650 0.333
Sr2 0.350 0.350 0.000
Sr3 0.650 0.000 0.667
Cu1 0.000 0.837 0.833
Cu2 0.163 0.163 0.500
Cu3 0.837 0.000 0.167
N1 0.000 0.284 0.333
N2 0.284 0.000 0.667
N3 0.716 0.716 0.000

Results
total DFT energy (no corrections) = -44.47 eV for the cell shown
space group = P3_221 (154)
raw formation energy = -0.240 eV per atom

---

# 3
Material: RbTlAg2Cl6
Method: DFT, GGA-PBE
State: relaxed

a b c (Å): 7.101 7.108 7.690
angles (deg): 90.04 117.44 119.91
Positions (direct):
Rb1 0.000 0.000 0.000
Tl1 0.943 0.472 0.414
Ag1 0.555 0.277 0.832
Ag2 0.598 0.800 0.398
Cl1 0.084 0.469 0.148
Cl2 0.089 0.222 0.622
Cl3 0.401 0.867 0.622
Cl4 0.534 0.066 0.148
Cl5 0.680 0.616 0.149
Cl6 0.756 0.534 0.623

Results
total DFT energy (no corrections) = -28.48 eV for the cell shown
space group = P1 (1)
raw formation energy = -0.836 eV per atom

---

# 4
Material: CsGa2AgCl8
Method: DFT, GGA-PBE
State: relaxed

a b c (Å): 6.625 6.625 9.874
angles (deg): 90.00 90.00 120.00
Positions (direct):
Cs1 0.000 0.000 0.000
Ga1 0.333 0.667 0.740
Ga2 0.667 0.333 0.260
Ag1 0.000 0.000 0.500
Cl1 0.020 0.343 0.674
Cl2 0.323 0.980 0.674
Cl3 0.333 0.667 0.964
Cl4 0.343 0.323 0.326
Cl5 0.657 0.677 0.674
Cl6 0.667 0.333 0.036
Cl7 0.677 0.020 0.326
Cl8 0.980 0.657 0.326

Results
total DFT energy (no corrections) = -39.22 eV for the cell shown
space group = P-3 (147)
raw formation energy = -1.224 eV per atom

---

# 5
Material: CsRbI2
Method: DFT, GGA-PBE
State: relaxed

a b c (Å): 9.372 9.372 9.372
angles (deg): 33.52 33.52 33.52
Positions (direct):
Cs1 0.000 0.000 0.000
Rb1 0.500 0.500 0.500
I1 0.246 0.246 0.246
I2 0.754 0.754 0.754

Results
total DFT energy (no corrections) = -11.01 eV for the cell shown
ΔE to the lowest computed polymorph = 0 meV/atom
space group = R-3m (166)
raw formation energy = -1.523 eV per atom

---

# 6
Material: AsCSCl2F9
Method: DFT, GGA-PBE
State: relaxed

a b c (Å): 7.908 9.681 12.472
angles (deg): 90.00 100.60 90.00
Positions (direct):
As1 0.192 0.248 0.068
As2 0.192 0.252 0.568
As3 0.808 0.748 0.432
As4 0.808 0.752 0.932
C1 0.380 0.669 0.119
C2 0.380 0.831 0.619
C3 0.620 0.169 0.381
C4 0.620 0.331 0.881
S1 0.173 0.672 0.194
S2 0.173 0.828 0.694
S3 0.827 0.172 0.306
S4 0.827 0.328 0.806
Cl1 0.182 0.632 0.740
Cl2 0.182 0.868 0.240
Cl3 0.263 0.567 0.328
Cl4 0.263 0.933 0.828
Cl5 0.737 0.067 0.172
Cl6 0.737 0.433 0.672
Cl7 0.818 0.132 0.760
Cl8 0.818 0.368 0.260
F1 0.022 0.706 0.499
F2 0.022 0.794 0.999
F3 0.113 0.089 0.606
F4 0.113 0.411 0.106
F5 0.145 0.175 0.190
F6 0.145 0.325 0.690
F7 0.232 0.178 0.446
F8 0.232 0.322 0.946
F9 0.268 0.086 0.031
F10 0.268 0.414 0.531
F11 0.323 0.615 0.021
F12 0.323 0.885 0.521
F13 0.401 0.207 0.636
F14 0.401 0.293 0.136
F15 0.434 0.703 0.611
F16 0.434 0.797 0.111
F17 0.500 0.090 0.323
F18 0.500 0.410 0.823
F19 0.500 0.590 0.177
F20 0.500 0.910 0.677
F21 0.566 0.203 0.889
F22 0.566 0.297 0.389
F23 0.599 0.707 0.864
F24 0.599 0.793 0.364
F25 0.677 0.115 0.479
F26 0.677 0.385 0.979
F27 0.732 0.586 0.469
F28 0.732 0.914 0.969
F29 0.768 0.678 0.054
F30 0.768 0.822 0.554
F31 0.855 0.675 0.310
F32 0.855 0.825 0.810
F33 0.887 0.589 0.894
F34 0.887 0.911 0.394
F35 0.978 0.206 0.001
F36 0.978 0.294 0.501

Results
total DFT energy (no corrections) = -240.39 eV for the cell shown
space group = P2_1/c (14)
raw formation energy = -1.540 eV per atom

---

# 7
Material: NaCa2Rh
Method: DFT, GGA-PBE
State: relaxed

a b c (Å): 8.562 8.562 8.562
angles (deg): 153.63 152.71 38.31
Positions (direct):
Na1 0.000 0.000 0.000
Ca1 0.342 0.342 0.000
Ca2 0.658 0.658 0.000
Rh1 0.500 0.500 0.000

Results
formation energy = 0.203 eV/atom
total DFT energy (no corrections) = -11.86 eV for the cell shown
space group = Immm (71)

---

# 8
Material: SrLiCa4
Method: DFT, GGA-PBE
State: relaxed

a b c (Å): 7.964 7.964 9.769
angles (deg): 113.97 113.97 89.99
Positions (direct):
Sr1 0.000 0.500 0.000
Sr2 0.500 0.000 0.000
Li1 0.250 0.750 0.500
Li2 0.750 0.250 0.500
Ca1 0.012 0.012 0.700
Ca2 0.188 0.512 0.700
Ca3 0.313 0.313 0.301
Ca4 0.488 0.812 0.300
Ca5 0.512 0.188 0.700
Ca6 0.687 0.687 0.699
Ca7 0.812 0.488 0.300
Ca8 0.988 0.988 0.300

Results
formation energy = 0.134 eV/atom
total DFT energy (no corrections) = -21.60 eV for the cell shown
ΔE to the lowest computed polymorph = 72 meV/atom
space group = C2/m (12)